Arrangement w

Compound: BaTeP2S
Source: the Alexandria database
Functional: GGA-PBEsol
Structure: optimized geometry

Lattice parameters (Å, degrees): 5.071 5.071 5.205 90.00 90.00 90.00
Fractional coordinates of all 5 atoms:
Ba  0.000  0.000  0.000
Te  0.500  0.500  0.500
P  0.000  0.500  0.500
P  0.500  0.000  0.500
S  0.500  0.500  0.000

Computed properties:
size of the total moment: 0.00 μB per cell
SG: P4/mmm

=====

Arrangement x

Compound: BaTeP2S
Source: the Alexandria database
Functional: GGA-PBEsol
Structure: optimized geometry

Lattice parameters (Å, degrees): 5.577 5.577 5.156 90.00 90.00 90.00
Fractional coordinates of all 5 atoms:
Ba  0.000  0.000  0.000
Te  0.500  0.500  0.500
P  0.000  0.500  0.000
P  0.500  0.000  0.000
S  0.000  0.000  0.500

Computed properties:
size of the total moment: 0.00 μB per cell
SG: P4/mmm

=====

Least stable structure: arrangement x

=====

Arrangement w

Compound: BaP2Se
Source: the Alexandria database
Functional: GGA-PBEsol
Structure: optimized geometry

Lattice parameters (Å, degrees): 5.920 5.920 5.920 137.82 137.82 61.19
Fractional coordinates of all 4 atoms:
Ba  0.000  0.000  0.000
P  0.250  0.750  0.500
P  0.750  0.250  0.500
Se  0.500  0.500  0.000

Computed properties:
size of the total moment: 0.00 μB per cell
SG: I4/mmm

=====

Arrangement x

Compound: BaP2Se
Source: the Alexandria database
Functional: GGA-PBEsol
Structure: optimized geometry

Lattice parameters (Å, degrees): 3.653 4.096 6.104 90.00 90.00 90.00
Fractional coordinates of all 4 atoms:
Ba  0.000  0.000  0.000
P  0.500  0.500  0.324
P  0.500  0.500  0.676
Se  0.000  0.000  0.500

Computed properties:
size of the total moment: 0.00 μB per cell
SG: Pmmm

=====

Least stable structure: arrangement w

=====

Arrangement w

Compound: Ba2SiP
Source: the Alexandria database
Functional: GGA-PBEsol
Structure: optimized geometry

Lattice parameters (Å, degrees): 3.662 3.662 8.752 90.00 90.00 90.00
Fractional coordinates of all 4 atoms:
Ba  0.000  0.000  0.233
Ba  0.000  0.000  0.767
Si  0.500  0.500  0.500
P  0.500  0.500  0.000

Computed properties:
size of the total moment: 0.00 μB per cell
SG: P4/mmm

=====

Arrangement x

Compound: Ba2SiP
Source: the Alexandria database
Functional: GGA-PBEsol
Structure: optimized geometry

Lattice parameters (Å, degrees): 5.404 5.404 5.404 60.00 60.00 60.00
Fractional coordinates of all 4 atoms:
Ba  0.000  0.000  0.000
Ba  0.250  0.250  0.250
Si  0.500  0.500  0.500
P  0.750  0.750  0.750

Computed properties:
size of the total moment: 0.00 μB per cell
SG: F-43m

=====

Arrangement y

Compound: Ba2SiP
Source: the Alexandria database
Functional: GGA-PBEsol
Structure: optimized geometry

Lattice parameters (Å, degrees): 6.160 6.160 5.073 99.13 99.13 40.71
Fractional coordinates of all 4 atoms:
Ba  0.000  0.000  0.000
Ba  0.737  0.737  0.573
Si  0.447  0.447  0.453
P  0.291  0.291  0.122

Computed properties:
size of the total moment: 0.00 μB per cell
SG: Cm

=====

Least stable structure: arrangement x